Computed, not measured: crystalline MnTcBr2 at its relaxed geometry at the PBEsol level of DFT.

a b c (Å): 3.1729 3.1729 8.9806
angles (deg): 79.83 79.83 60.00
Last column: nearest neighbours and their distance in Å.
Atoms (fractional coordinates):
1 Br 0.9023 0.9023 0.2931  1 Mn 2.58, 3 Tc 2.58
2 Br 0.0977 0.0977 0.7069  1 Mn 2.58, 3 Tc 2.58
3 Mn 0.0000 0.0000 0.0000  2 Br 2.58
4 Tc 0.5000 0.5000 0.5000  6 Br 2.58

## Properties
Size of the total moment ... 4.11 μB per formula unit
Energy relative to the lowest polymorph listed for this composition ... 0 meV/atom
Space-group type ... R-3m
D(E_F) ... 3.647 states/eV/cell
ΔE_f (raw) ... 66.32 kJ/mol of atoms